This record from the Alexandria database describes an optimized crystal structure of Ca4Ce3SnN8. The functional is PBE.

Unit cell a=7.028 b=7.028 c=7.028 alpha=59.91 beta=59.91 gamma=59.91
Fractional coordinates of all 16 atoms:
Ca1 0.000 0.000 0.000
Ca2 0.000 0.500 0.500
Ca3 0.500 0.000 0.500
Ca4 0.500 0.500 0.000
Ce1 0.000 0.000 0.500
Ce2 0.000 0.500 0.000
Ce3 0.500 0.000 0.000
Sn1 0.500 0.500 0.500
N1 0.239 0.239 0.239
N2 0.246 0.741 0.741
N3 0.259 0.259 0.754
N4 0.259 0.754 0.259
N5 0.741 0.246 0.741
N6 0.741 0.741 0.246
N7 0.754 0.259 0.259
N8 0.761 0.761 0.761

Output
The value obtained for the uncorrected formation energy is -1.05 eV per atom.